Record 1
Entry from Alexandria: a relaxed structure of YHoTmAl (PBE).

Unit cell a=5.322 b=5.322 c=5.322 alpha=60.00 beta=60.00 gamma=60.00
Fractional positions:
Y 0.000 0.000 0.000
Ho 0.500 0.500 0.500
Tm 0.750 0.750 0.750
Al 0.250 0.250 0.250

Values from the calculation:
volume: 106.6 Å³ per cell
magnetic moment: 0.01 μB per formula unit
space group: F-43m
energy above the lowest structure with this stoichiometry: 125.1 meV per atom
E_tot: -4.884 eV per atom



Record 2
Entry from Alexandria: a relaxed structure of YHoTmAl (PBE).

Unit cell a=3.496 b=3.496 c=8.959 alpha=90.00 beta=90.00 gamma=90.00
Fractional positions:
Y 0.000 0.000 0.000
Ho 0.500 0.500 0.292
Tm 0.000 0.000 0.572
Al 0.500 0.500 0.783

Values from the calculation:
volume: 109.5 Å³ per cell
magnetic moment: 0.00 μB per formula unit
space group: P4mm
energy above the lowest structure with this stoichiometry: 0.0 meV per atom
E_tot: -5.009 eV per atom



Record 3
Entry from Alexandria: a relaxed structure of HoTm2Al2Zn2 (PBE).

Unit cell a=9.246 b=9.246 c=9.246 alpha=28.11 beta=28.11 gamma=28.11
Fractional positions:
Ho 0.000 0.000 0.000
Tm 0.128 0.128 0.128
Tm 0.872 0.872 0.872
Al 0.263 0.263 0.263
Al 0.737 0.737 0.737
Zn 0.399 0.399 0.399
Zn 0.601 0.601 0.601

Values from the calculation:
volume: 155.0 Å³ per cell
magnetic moment: 0.00 μB per formula unit
space group: R-3m
E_tot: -3.665 eV per atom



Record 4
Entry from Alexandria: a relaxed structure of HoUAl4 (PBE).

Unit cell a=5.532 b=5.532 c=5.532 alpha=60.00 beta=60.00 gamma=60.00
Fractional positions:
Ho 0.000 0.000 0.000
U 0.750 0.750 0.750
Al 0.376 0.376 0.376
Al 0.376 0.376 0.873
Al 0.376 0.873 0.376
Al 0.873 0.376 0.376

Values from the calculation:
volume: 119.7 Å³ per cell
magnetic moment: 2.75 μB per formula unit
space group: F-43m
E_tot: -5.379 eV per atom